1.
The following is a PBE calculation of a relaxed Sc2W crystal, from Alexandria.

```
data_Sc2W
_chemical_formula_sum 'Sc2 W1'
_symmetry_space_group_name_H-M 'P 6/m m m'
_symmetry_Int_Tables_number 191
_symmetry_space_group_name_Hall '-P 6 2'
_cell_length_a 4.8558
_cell_length_b 4.8558
_cell_length_c 2.8443
_cell_angle_alpha 90.00
_cell_angle_beta 90.00
_cell_angle_gamma 120.00
loop_
_atom_site_label
_atom_site_type_symbol
_atom_site_fract_x
_atom_site_fract_y
_atom_site_fract_z
_atom_site_occupancy
Sc1 Sc 0.3333 0.6667 0.0000 1
W1 W 0.0000 0.0000 0.5000 1
```

Output
- ΔE to the lowest computed polymorph: 0.176 eV per atom



2.
The following is a PBE calculation of a relaxed Sc4W crystal, from Alexandria.

```
data_Sc4W
_chemical_formula_sum 'Sc8 W2'
_symmetry_space_group_name_H-M 'I 4/m m m'
_symmetry_Int_Tables_number 139
_symmetry_space_group_name_Hall '-I 4 2'
_cell_length_a 3.795
_cell_length_b 3.795
_cell_length_c 15.563
_cell_angle_alpha 90.00
_cell_angle_beta 90.00
_cell_angle_gamma 90.00
loop_
_atom_site_label
_atom_site_type_symbol
_atom_site_fract_x
_atom_site_fract_y
_atom_site_fract_z
_atom_site_occupancy
Sc1 Sc 0.000 0.000 0.086 1
Sc2 Sc 0.000 0.500 0.250 1
W1 W 0.000 0.000 0.500 1
```

Output
- ΔE to the lowest computed polymorph: 0.509 eV per atom



3.
The following is a PBE calculation of a relaxed Sc5W4 crystal, from Alexandria.

```
data_Sc5W4
_chemical_formula_sum 'Sc10 W8'
_symmetry_space_group_name_H-M 'P 63/m c m'
_symmetry_Int_Tables_number 193
_symmetry_space_group_name_Hall '-P 6c 2'
_cell_length_a 8.2770
_cell_length_b 8.2770
_cell_length_c 5.8640
_cell_angle_alpha 90.00
_cell_angle_beta 90.00
_cell_angle_gamma 120.00
loop_
_atom_site_label
_atom_site_type_symbol
_atom_site_fract_x
_atom_site_fract_y
_atom_site_fract_z
_atom_site_occupancy
Sc1 Sc 0.0000 0.3672 0.2500 1
Sc2 Sc 0.3333 0.6667 0.0000 1
W1 W 0.0000 0.0000 0.0000 1
W2 W 0.0000 0.2768 0.7500 1
```

Output
- ΔE to the lowest computed polymorph: 0.092 eV per atom



4.
The following is a PBE calculation of a relaxed ScW8 crystal, from Alexandria.

```
data_ScW8
_chemical_formula_sum 'Sc2 W16'
_symmetry_space_group_name_H-M 'I 4/m m m'
_symmetry_Int_Tables_number 139
_symmetry_space_group_name_Hall '-I 4 2'
_cell_length_a 8.086
_cell_length_b 8.086
_cell_length_c 4.636
_cell_angle_alpha 90.00
_cell_angle_beta 90.00
_cell_angle_gamma 90.00
loop_
_atom_site_label
_atom_site_type_symbol
_atom_site_fract_x
_atom_site_fract_y
_atom_site_fract_z
_atom_site_occupancy
Sc1 Sc 0.000 0.000 0.000 1
W1 W 0.000 0.340 0.000 1
W2 W 0.169 0.169 0.500 1
```



Number 1: calculated volume 19.4 A^3/atom, DFT formation energy 0.29 eV/atom. Number 2: calculated volume 22.4 A^3/atom, DFT formation energy 0.71 eV/atom. Number 3: calculated volume 19.3 A^3/atom, DFT formation energy 0.37 eV/atom. Number 4: calculated volume 16.8 A^3/atom, DFT formation energy 0.36 eV/atom.